Below is a relaxed LaSiAsP2 crystal, with properties calculated at the GGA-PBEsol level.

Calculated values
The final energy comes out at -21.75 eV per formula unit. The value obtained for the density of states at the Fermi level is 4.8 states/eV per cell. As for the uncorrected formation energy: 6.04 eV per formula unit.

POSCAR file:
```
LaSiAsP2
1.0
5.228 0.000 0.000
0.000 5.228 0.000
0.000 0.000 5.463
La Si As P
1 1 1 2
Cartesian
0.000 0.000 0.000
2.614 2.614 2.732
0.000 0.000 2.732
0.000 2.614 0.000
2.614 0.000 0.000
```